No. 1
This record from Alexandria describes a relaxed structure of Li3CuGe2. The functional is PBE-GGA.

V   15.9 Å³/atom
Crystal system   orthorhombic
D(E_F)   0.08 states/eV/atom
E_form   -1.32 eV/f.u.

Structure (POSCAR):
```
Li3CuGe2
1.0
-1.778 3.639 3.002
-3.852 0.454 -2.832
-0.981 -7.448 4.213
Li Cu Ge
6 2 4
direct
0.535 0.699 0.397
0.465 0.301 0.603
0.137 0.801 0.603
0.863 0.199 0.397
0.500 0.750 0.000
0.500 0.250 0.000
0.000 0.250 0.000
0.000 0.750 0.000
0.292 0.129 0.257
0.708 0.871 0.743
0.035 0.371 0.743
0.965 0.629 0.257
```

***

No. 2
This record from Alexandria describes a relaxed structure of Li4CuGe. The functional is PBE-GGA.

V   14.0 Å³/atom
Crystal system   orthorhombic
Relative energy among the computed polymorphs   0 kJ/mol of formula units
D(E_F)   0.31 states/eV/atom
E_form   -1.40 eV/f.u.

Structure (POSCAR):
```
Li4CuGe
1.0
2.530 -7.580 0.000
2.530 7.580 0.000
0.000 0.000 4.384
Li Cu Ge
8 2 2
direct
0.216 0.300 0.750
0.044 0.460 0.750
0.300 0.216 0.250
0.460 0.044 0.250
0.784 0.700 0.250
0.700 0.784 0.750
0.956 0.540 0.250
0.540 0.956 0.750
0.880 0.120 0.250
0.120 0.880 0.750
0.371 0.629 0.250
0.629 0.371 0.750
```

***

No. 3
This record from Alexandria describes a relaxed structure of Li2CuGe2. The functional is PBE-GGA.

V   16.3 Å³/atom
Crystal system   tetragonal
Relative energy among the computed polymorphs   0 kJ/mol of formula units
D(E_F)   0.26 states/eV/atom
E_form   -1.10 eV/f.u.

Structure (POSCAR):
```
Li2CuGe2
1.0
-0.589 -0.321 6.248
0.011 -6.276 -0.322
4.111 -0.013 0.387
Ge Cu Li
4 2 4
direct
0.359 0.859 0.000
0.859 0.641 0.000
0.641 0.141 0.000
0.141 0.359 0.000
0.000 0.000 0.000
0.500 0.500 0.000
0.163 0.663 0.500
0.663 0.837 0.500
0.837 0.337 0.500
0.337 0.163 0.500
```

***

No. 4
This record from Alexandria describes a relaxed structure of Li3Cu4Ge2. The functional is PBE-GGA.

V   13.0 Å³/atom
Crystal system   monoclinic
D(E_F)   0.35 states/eV/atom
E_form   -1.83 eV/f.u.

Structure (POSCAR):
```
Li3Cu4Ge2
1.0
-0.766 -3.018 -2.801
-2.206 0.189 3.531
-5.135 4.586 -3.536
Li Cu Ge
3 4 2
direct
0.334 0.667 0.562
0.000 0.000 0.000
0.666 0.333 0.438
0.666 0.332 0.109
0.001 0.002 0.669
0.999 0.998 0.331
0.334 0.668 0.891
0.333 0.666 0.222
0.667 0.334 0.778
```

***

No. 5
This record from Alexandria describes a relaxed structure of Li2CuGe2. The functional is PBE-GGA.

V   15.2 Å³/atom
Crystal system   tetragonal
Relative energy among the computed polymorphs   114 kJ/mol of formula units
D(E_F)   0.37 states/eV/atom
E_form   0.08 eV/f.u.

Structure (POSCAR):
```
Li2CuGe2
1.0
-6.723 2.846 -0.018
-2.518 -5.971 -3.363
-0.518 -1.207 2.531
Ge Cu Li
4 2 4
direct
0.185 0.685 0.500
0.685 0.815 0.500
0.815 0.315 0.500
0.315 0.185 0.500
0.000 0.000 0.000
0.500 0.500 0.000
0.385 0.885 0.000
0.885 0.615 0.000
0.615 0.115 0.000
0.115 0.385 0.000
```

***

No. 6
This record from Alexandria describes a relaxed structure of LiCu4Ge2. The functional is PBE-GGA.

V   15.6 Å³/atom
Crystal system   tetragonal
Relative energy among the computed polymorphs   91 kJ/mol of formula units
D(E_F)   0.36 states/eV/atom
E_form   0.41 eV/f.u.

Structure (POSCAR):
```
LiCu4Ge2
1.0
3.560 0.000 0.000
0.000 3.560 0.000
-1.780 -1.780 8.609
Li Cu Ge
1 4 2
direct
0.000 0.000 0.000
0.147 0.147 0.294
0.853 0.853 0.706
0.750 0.250 0.500
0.250 0.750 0.500
0.621 0.621 0.241
0.379 0.379 0.759
```

***

Question: The lowest V belongs to which entry?
Answer: Li3Cu4Ge2